# 1
Compound: Nd2SmGe3Pt4
Source: Alexandria
Functional: PBE-GGA
Structure: relaxed

a = 4.348 Å, b = 4.348 Å, c = 11.217 Å
α = 90.00°, β = 90.00°, γ = 90.00°
Fractional coordinates of all 10 atoms:
Nd 0.000 0.500 0.220
Nd 0.500 0.000 0.780
Sm 0.000 0.000 0.500
Ge 0.000 0.500 0.880
Ge 0.500 0.000 0.120
Ge 0.500 0.500 0.500
Pt 0.000 0.000 0.000
Pt 0.000 0.500 0.661
Pt 0.500 0.000 0.339
Pt 0.500 0.500 0.000

- DFT formation energy: -0.9340 eV per atom
- Calculated volume: 212 Å³/f.u.

***

# 2
Compound: NiBPC
Source: Alexandria
Functional: PBE-GGA
Structure: relaxed

a = 6.320 Å, b = 2.757 Å, c = 5.043 Å
α = 90.00°, β = 102.48°, γ = 90.00°
Fractional coordinates of all 8 atoms:
Ni 0.000 0.000 0.000
Ni 0.500 0.500 0.000
B 0.236 0.500 0.636
B 0.736 0.000 0.636
P 0.236 0.500 0.244
P 0.736 0.000 0.244
C 0.220 0.000 0.754
C 0.720 0.500 0.754

- DFT formation energy: 0.2225 eV per atom
- Calculated volume: 43 Å³/f.u.
- ΔE to the lowest computed polymorph: 157 meV per atom

***

# 3
Compound: TbTmTl
Source: Alexandria
Functional: PBE-GGA
Structure: relaxed

a = 3.557 Å, b = 3.557 Å, c = 13.665 Å
α = 90.00°, β = 90.00°, γ = 90.00°
Fractional coordinates of all 6 atoms:
Tb 0.000 0.000 0.000
Tb 0.500 0.500 0.500
Tm 0.000 0.000 0.683
Tm 0.500 0.500 0.183
Tl 0.000 0.000 0.339
Tl 0.500 0.500 0.839

- DFT formation energy: -0.2265 eV per atom
- Calculated volume: 86 Å³/f.u.
- ΔE to the lowest computed polymorph: 27 meV per atom